# 1
SnGe2Mo2 PBE optimized geometry; ΔE_f = 0.120 eV per atom; excess energy over the best structure of this formula in the dataset = 5 meV per atom
1.0
-0.2710 -5.1157 -5.1562
6.9941 -1.5757 1.1957
-0.8900 -2.2334 2.2626
Ge Mo Sn
4 4 2
direct
0.8555 0.3555 0.5000 Ge
0.1445 0.6445 0.5000 Ge
0.6445 0.8555 0.5000 Ge
0.3555 0.1445 0.5000 Ge
0.3528 0.8528 0.0000 Mo
0.6472 0.1472 0.0000 Mo
0.1472 0.3528 0.0000 Mo
0.8528 0.6472 0.0000 Mo
0.5000 0.5000 0.0000 Sn
0.0000 0.0000 0.0000 Sn



# 2
SrTa2CoRu PBE optimized geometry; ΔE_f = 0.940 eV per atom
1.0
-3.7140 0.5018 3.0267
-1.3678 -4.6681 -0.9044
2.7639 -1.5156 3.6428
Ru Ta Sr Co
1 2 1 1
direct
0.0000 0.0000 0.0000 Ru
0.0000 0.0000 0.5000 Ta
0.5000 0.0000 0.0000 Ta
0.5000 0.5000 0.5000 Sr
0.0000 0.5000 0.0000 Co



> Which value of ΔE_f does entry 1 give?

0.120 eV per atom



> Which of these has the highest ΔE_f?

SrTa2CoRu



> Look up the ΔE_f of the second one.

0.940 eV per atom